Crystalline MnOF at its relaxed geometry, computed with PBE with a Hubbard U.

DFT total energy in eV/atom: -6.714
V in Å³/atom: 11.41
Symmetry: P2_1/c (14)
Density in g/cm3: 4.36

Lattice parameters (Å, degrees): 6.258 4.664 9.379 89.69 90.00 90.00
Last column: magnetic moment on the atom in μB.
Sites, in units of the cell vectors:
1 Mn 0.000 0.000 0.000  4.04
2 Mn 0.500 0.000 0.000  3.98
3 Mn 0.000 0.000 0.500  3.98
4 Mn 0.500 0.000 0.500  4.04
5 Mn 0.250 0.472 0.763  3.99
6 Mn 0.750 0.528 0.737  3.99
7 Mn 0.250 0.472 0.263  3.99
8 Mn 0.750 0.528 0.237  3.99
9 O 0.752 0.823 0.587  -0.12
10 O 0.748 0.823 0.087  -0.12
11 O 0.000 0.684 0.840  -0.16
12 O 0.500 0.684 0.340  -0.16
13 O 0.500 0.316 0.660  -0.16
14 O 0.000 0.316 0.160  -0.16
15 O 0.252 0.177 0.913  -0.12
16 O 0.248 0.177 0.413  -0.12
17 F 0.248 0.777 0.611  0.04
18 F 0.252 0.777 0.111  0.04
19 F 0.500 0.709 0.856  0.04
20 F 0.000 0.709 0.356  0.04
21 F 0.000 0.291 0.644  0.04
22 F 0.500 0.291 0.144  0.04
23 F 0.748 0.223 0.889  0.04
24 F 0.752 0.223 0.389  0.04